A relaxed structure of Ca2AgBr. Source: Alexandria via LeMat-Bulk, functional PBE-GGA.

The structure in POSCAR format:
```
Ca2AgBr
1.0
3.9278 0.0000 0.0000
0.0000 3.7391 0.0000
-0.0165 0.0000 8.2700
Ca Ag Br
2 1 1
Cartesian
3.9235 0.0000 1.7494
-0.0122 0.0000 6.5206
1.9639 1.8696 0.0000
-0.0082 1.8696 4.1350
```

Results
Its volume is 121.5 Å³/cell. Its polymorph energy (0 for the lowest one) is 0 meV/atom. As for the size of the total moment: 0.00 Bohr magnetons per cell. The uncorrected formation energy is -0.82 eV per atom.